Version w
! Na2NiO2 PBE with a Hubbard U optimized geometry; values from VASP
! Total magnetization = 2.0 μB/f.u.
! V = 133.0 Å³/cell
! Space-group type = No. 72
&SYSTEM
  ibrav = 0, nat = 10, ntyp = 3
/
ATOMIC_SPECIES
O 16.00 O.upf
Na 22.99 Na.upf
Ni 58.69 Ni.upf
ATOMIC_POSITIONS angstrom
O -0.0798 1.7977 -0.1689
O 3.3674 2.9656 0.9903
O 1.7063 4.0226 -2.5244
O 1.5813 0.7407 3.3458
Na 2.7093 1.2548 -0.4021
Na 0.6317 0.1408 1.3366
Na 2.6559 4.6225 -0.5151
Na 0.5783 3.5085 1.2236
Ni 2.8986 2.5011 -3.0689
Ni 0.5286 2.5011 -1.9488
CELL_PARAMETERS angstrom
4.7399 0.0000 -2.2403
-1.3127 5.0022 -2.7774
-0.1396 -0.2389 5.8392

***

Version x
! Na2NiO2 PBE with a Hubbard U optimized geometry; values from VASP
! Total magnetization = 0.0 μB/f.u.
! V = 121.6 Å³/cell
! N(E_F) = 0.0 states/eV/cell
! Space-group type = No. 36
&SYSTEM
  ibrav = 0, nat = 10, ntyp = 3
/
ATOMIC_SPECIES
O 16.00 O.upf
Na 22.99 Na.upf
Ni 58.69 Ni.upf
ATOMIC_POSITIONS angstrom
O 0.0000 4.9231 3.3971
O 1.4337 0.2038 7.5347
O 0.0000 2.8475 4.9095
O 1.4337 2.2794 0.7719
Na 1.4337 1.0867 5.3989
Na 1.4337 3.6161 6.8755
Na 0.0000 4.0403 1.2613
Na 0.0000 1.5109 2.7379
Ni 1.4337 3.8751 4.1228
Ni 0.0000 1.2519 8.2604
CELL_PARAMETERS angstrom
2.8673 0.0000 0.0000
-1.4337 5.1270 0.0000
0.0000 0.0000 8.2751

***

Version y
! Na2NiO2 PBE with a Hubbard U optimized geometry; values from VASP
! Total magnetization = 0.0 μB/f.u.
! V = 63.3 Å³/cell
! N(E_F) = 0.0 states/eV/cell
! Space-group type = No. 71
&SYSTEM
  ibrav = 0, nat = 5, ntyp = 3
/
ATOMIC_SPECIES
O 16.00 O.upf
Na 22.99 Na.upf
Ni 58.69 Ni.upf
ATOMIC_POSITIONS angstrom
O 1.0436 -1.2268 -1.0296
O 0.8835 -3.9671 1.2261
Na -0.3342 -3.0289 -0.5215
Na -0.7137 -6.4689 -1.1138
Ni 0.0000 0.0000 0.0000
CELL_PARAMETERS angstrom
-0.4331 -5.2147 1.8297
-0.6147 -4.2831 -3.4650
2.9749 4.3039 1.8317

***

Version z
! Na2NiO2 PBE with a Hubbard U optimized geometry; values from VASP
! Total magnetization = 2.0 μB/f.u.
! V = 97.9 Å³/cell
! N(E_F) = 0.0 states/eV/cell
! Space-group type = No. 139
&SYSTEM
  ibrav = 0, nat = 5, ntyp = 3
/
ATOMIC_SPECIES
Ni 58.69 Ni.upf
O 16.00 O.upf
Na 22.99 Na.upf
ATOMIC_POSITIONS angstrom
Ni -2.3191 0.1890 -2.0078
O -2.2672 -0.2797 2.5924
O -3.4521 0.0492 -0.7124
Na -2.8700 1.4135 1.0959
Na -2.8493 -1.6440 0.7842
CELL_PARAMETERS angstrom
-2.3399 3.2464 -1.6961
-2.2984 -2.8684 -2.3196
-1.0810 -0.6085 5.8957

***

Least stable of them? version w.

***

Version w
! Na2NiO2 PBE with a Hubbard U optimized geometry; values from VASP
! Total magnetization = 2.0 μB/f.u.
! V = 66.5 Å³/cell
! N(E_F) = 3.8 states/eV/cell
! Space-group type = No. 139
&SYSTEM
  ibrav = 0, nat = 5, ntyp = 3
/
ATOMIC_SPECIES
O 16.00 O.upf
Na 22.99 Na.upf
Ni 58.69 Ni.upf
ATOMIC_POSITIONS angstrom
O 4.2391 2.1196 1.8492
O 2.1196 4.2391 1.8492
Na 2.1196 2.1196 1.1816
Na 4.2391 4.2391 2.5169
Ni 0.0000 0.0000 0.0000
CELL_PARAMETERS angstrom
4.2391 0.0000 0.0000
0.0000 4.2391 0.0000
2.1196 2.1196 3.6984

***

Version x
! Na2NiO2 PBE with a Hubbard U optimized geometry; values from VASP
! Total magnetization = 2.0 μB/f.u.
! V = 116.3 Å³/cell
! N(E_F) = 2.2 states/eV/cell
! Space-group type = No. 127
&SYSTEM
  ibrav = 0, nat = 10, ntyp = 3
/
ATOMIC_SPECIES
O 16.00 O.upf
Ni 58.69 Ni.upf
Na 22.99 Na.upf
ATOMIC_POSITIONS angstrom
O 4.4832 5.4153 1.3356
O 2.1158 1.1837 1.3356
O 5.4153 2.1158 1.3356
O 1.1837 4.4832 1.3356
Ni 0.0000 0.0000 0.0000
Ni 3.2995 3.2995 0.0000
Na 0.8141 2.4854 0.0000
Na 2.4854 5.7849 0.0000
Na 5.7849 4.1136 0.0000
Na 4.1136 0.8141 0.0000
CELL_PARAMETERS angstrom
6.5990 0.0000 0.0000
0.0000 6.5990 0.0000
0.0000 0.0000 2.6712

***

Least stable of them? version w.

***

Version w
! NaNi2O4 PBE with a Hubbard U optimized geometry; values from VASP
! Total magnetization = 1.0 μB/f.u.
! V = 270.2 Å³/cell
! N(E_F) = 7.9 states/eV/cell
! Space-group type = No. 62
&SYSTEM
  ibrav = 0, nat = 28, ntyp = 3
/
ATOMIC_SPECIES
Ni 58.69 Ni.upf
O 16.00 O.upf
Na 22.99 Na.upf
ATOMIC_POSITIONS angstrom
Ni -6.6562 1.7834 1.4967
Ni -1.2554 2.0796 0.6267
Ni -9.2613 0.2535 -0.1202
Ni -3.6003 1.8316 5.6135
Ni -4.0087 0.5349 -0.7055
Ni -8.8529 1.5502 6.1988
Ni -11.6061 0.0055 4.8666
Ni -6.2054 0.3018 3.9966
O -7.4021 0.2812 2.4507
O -10.0546 0.1654 1.7297
O -7.0862 1.8868 -3.3397
O -7.8841 0.1372 7.0670
O -3.2037 1.9898 0.2828
O -4.8084 0.3363 5.3999
O -11.5425 1.4800 3.6455
O -9.6579 0.0954 5.2105
O -5.4595 1.8040 3.0426
O -8.0531 1.7489 0.0934
O -7.2297 1.6670 4.8661
O -4.9775 1.9480 -1.5737
O -2.8070 1.9198 3.7636
O -5.6318 0.4181 0.6272
O -5.7754 0.1984 8.8330
O -1.3190 0.6051 1.8478
Na -3.7147 0.4764 2.1287
Na -6.7736 0.4154 -1.5015
Na -9.1468 1.6087 3.3646
Na -6.0879 1.6698 6.9948
CELL_PARAMETERS angstrom
-0.1455 2.8700 0.0743
-7.7810 -0.2891 -4.0643
-4.9351 -0.4957 9.4833

***

Version x
! NaNi2O4 PBE with a Hubbard U optimized geometry; values from VASP
! Total magnetization = 1.0 μB/f.u.
! V = 152.9 Å³/cell
! N(E_F) = 7.6 states/eV/cell
! Space-group type = No. 141
&SYSTEM
  ibrav = 0, nat = 14, ntyp = 3
/
ATOMIC_SPECIES
Ni 58.69 Ni.upf
O 16.00 O.upf
Na 22.99 Na.upf
ATOMIC_POSITIONS angstrom
Ni 0.2743 3.5177 0.3352
Ni -0.2741 2.0496 2.8782
Ni 0.9270 -0.6558 3.2791
Ni 3.8781 -0.8870 3.6800
O 0.6814 1.0766 4.2206
O -0.7883 -1.0010 4.2209
O 1.2298 2.8420 1.8492
O 2.1628 -1.5298 4.4499
O -0.3088 0.2181 2.1082
O -1.7780 1.2577 3.9074
O 2.6423 -0.3102 2.3376
O -1.2296 3.0226 1.5358
Na 0.0000 0.0000 0.0000
Na 2.9511 1.6244 1.4719
CELL_PARAMETERS angstrom
5.9022 -0.4626 0.8015
-2.4027 5.4108 -0.8015
-1.0968 -2.9358 5.0862

***

Version y
! NaNi2O4 PBE with a Hubbard U optimized geometry; values from VASP
! Total magnetization = 1.0 μB/f.u.
! V = 315.8 Å³/cell
! Space-group type = No. 7
&SYSTEM
  ibrav = 0, nat = 28, ntyp = 3
/
ATOMIC_SPECIES
O 16.00 O.upf
Ni 58.69 Ni.upf
Na 22.99 Na.upf
ATOMIC_POSITIONS angstrom
O -8.0957 -4.1275 -3.1874
O -13.5253 -5.5895 1.1077
O -2.4396 -1.8283 -1.6433
O -12.2942 -1.0078 -0.5564
O -13.3453 -3.4885 -0.9413
O -3.7057 -4.5534 -1.8886
O -6.7471 -3.1853 -0.7504
O -3.6024 -2.5466 -4.1336
O -7.8211 -1.3473 0.7439
O -5.7042 -0.6965 -0.3969
O -6.9021 -1.3698 -2.8888
O -8.9475 -4.0925 0.4861
O -8.9820 -2.1868 -1.6202
O -12.2846 -2.8787 1.5877
O -10.3073 -4.8532 -2.0927
O -2.4035 0.1267 -3.5973
Ni -13.5186 -2.1444 0.3492
Ni -13.5093 -4.0274 2.4490
Ni -0.0202 -0.0081 -0.0231
Ni -2.3968 -3.2985 -2.8722
Ni -8.5545 -4.0386 -1.3720
Ni -8.5121 -2.1364 -3.5064
Ni -7.3328 -1.4323 -1.0430
Ni -7.3801 0.4441 -3.1380
Na -6.0539 -4.9084 -2.3839
Na -12.1893 -5.6705 -0.7983
Na -11.4608 -2.6628 -2.1741
Na -4.4240 -2.7946 -0.2994
CELL_PARAMETERS angstrom
-1.1942 1.1843 -4.5844
-2.3471 -5.1877 -0.7288
-12.3555 -1.4403 2.8464

***

Least stable of them? version x.